A plane-wave DFT calculation with GGA-PBE was carried out for an optimized crystal structure of PrCdSnPd.

Values from the calculation:
Fermi-level density of states (states/eV/cell): 7.49
Size of the total moment (μB/cell): 0.0
ΔE_f (eV/f.u.): -2.123
Symmetry: F-43m

a = 7.182 Å, b = 7.182 Å, c = 7.182 Å
α = 90.00°, β = 90.00°, γ = 90.00°
Fractional coordinates of all 16 atoms:
Pr 0.000 0.000 0.000
Pr 0.000 0.500 0.500
Pr 0.500 0.000 0.500
Pr 0.500 0.500 0.000
Cd 0.250 0.250 0.750
Cd 0.250 0.750 0.250
Cd 0.750 0.250 0.250
Cd 0.750 0.750 0.750
Sn 0.000 0.000 0.500
Sn 0.000 0.500 0.000
Sn 0.500 0.000 0.000
Sn 0.500 0.500 0.500
Pd 0.250 0.250 0.250
Pd 0.250 0.750 0.750
Pd 0.750 0.250 0.750
Pd 0.750 0.750 0.250

A plane-wave DFT calculation with GGA-PBE was carried out for an optimized crystal structure of SmTiCo.

Values from the calculation:
Fermi-level density of states (states/eV/cell): 6.73
Size of the total moment (μB/cell): 0.0
ΔE_f (eV/f.u.): -0.653
Symmetry: P4/nmm

a = 4.317 Å, b = 4.317 Å, c = 6.283 Å
α = 90.00°, β = 90.00°, γ = 90.00°
Fractional coordinates of all 6 atoms:
Sm 0.250 0.250 0.131
Sm 0.750 0.750 0.869
Ti 0.250 0.750 0.500
Ti 0.750 0.250 0.500
Co 0.250 0.250 0.686
Co 0.750 0.750 0.314

A plane-wave DFT calculation with GGA-PBE was carried out for an optimized crystal structure of ScPt2Se.

Values from the calculation:
Fermi-level density of states (states/eV/cell): 7.04
Size of the total moment (μB/cell): 0.0
Symmetry: I-42d
Formation energy (no corrections) (kcal/mol of atoms): -16.7

a = 3.892 Å, b = 3.892 Å, c = 19.327 Å
α = 90.00°, β = 90.00°, γ = 90.00°
Fractional coordinates of all 16 atoms:
Sc 0.000 0.000 0.000
Sc 0.000 0.500 0.250
Sc 0.500 0.000 0.750
Sc 0.500 0.500 0.500
Pt 0.250 0.250 0.125
Pt 0.250 0.250 0.625
Pt 0.250 0.750 0.375
Pt 0.250 0.750 0.875
Pt 0.750 0.250 0.375
Pt 0.750 0.250 0.875
Pt 0.750 0.750 0.125
Pt 0.750 0.750 0.625
Se 0.000 0.000 0.500
Se 0.000 0.500 0.750
Se 0.500 0.000 0.250
Se 0.500 0.500 0.000

A plane-wave DFT calculation with GGA-PBE was carried out for an optimized crystal structure of PmLu2Fe.

Values from the calculation:
Fermi-level density of states (states/eV/cell): 2.60
Size of the total moment (μB/cell): 0.0
ΔE_f (eV/f.u.): 0.031
Symmetry: P4/mmm

a = 3.312 Å, b = 3.312 Å, c = 8.914 Å
α = 90.00°, β = 90.00°, γ = 90.00°
Fractional coordinates of all 4 atoms:
Pm 0.000 0.000 0.000
Lu 0.500 0.500 0.325
Lu 0.500 0.500 0.675
Fe 0.000 0.000 0.500

A plane-wave DFT calculation with GGA-PBE was carried out for an optimized crystal structure of MgAsC2.

Values from the calculation:
Fermi-level density of states (states/eV/cell): 5.81
Size of the total moment (μB/cell): 0.0
ΔE_f (eV/f.u.): 7.303
Symmetry: Fm-3m

a = 5.714 Å, b = 5.714 Å, c = 5.714 Å
α = 90.00°, β = 90.00°, γ = 90.00°
Fractional coordinates of all 16 atoms:
Mg 0.000 0.000 0.000
Mg 0.000 0.500 0.500
Mg 0.500 0.000 0.500
Mg 0.500 0.500 0.000
As 0.000 0.000 0.500
As 0.000 0.500 0.000
As 0.500 0.000 0.000
As 0.500 0.500 0.500
C 0.250 0.250 0.250
C 0.250 0.250 0.750
C 0.250 0.750 0.250
C 0.250 0.750 0.750
C 0.750 0.250 0.250
C 0.750 0.250 0.750
C 0.750 0.750 0.250
C 0.750 0.750 0.750

A plane-wave DFT calculation with GGA-PBE was carried out for an optimized crystal structure of Ac2Sn3Ir2.

Values from the calculation:
Fermi-level density of states (states/eV/cell): 10.35
Size of the total moment (μB/cell): 0.0
ΔE_f (eV/f.u.): -3.373
Symmetry: Cmcm

a = 10.431 Å, b = 10.431 Å, c = 7.632 Å
α = 90.00°, β = 90.00°, γ = 154.11°
Fractional coordinates of all 14 atoms:
Ac 0.052 0.948 0.750
Ac 0.166 0.834 0.250
Ac 0.834 0.166 0.750
Ac 0.948 0.052 0.250
Sn 0.216 0.784 0.750
Sn 0.430 0.570 0.559
Sn 0.430 0.570 0.941
Sn 0.570 0.430 0.059
Sn 0.570 0.430 0.441
Sn 0.784 0.216 0.250
Ir 0.300 0.700 0.047
Ir 0.300 0.700 0.453
Ir 0.700 0.300 0.547
Ir 0.700 0.300 0.953

A plane-wave DFT calculation with GGA-PBE was carried out for an optimized crystal structure of Sr3VGe.

Values from the calculation:
Fermi-level density of states (states/eV/cell): 10.03
Size of the total moment (μB/cell): 4.8
ΔE_f (eV/f.u.): 2.107
Symmetry: Pm-3m

a = 6.037 Å, b = 6.037 Å, c = 6.037 Å
α = 90.00°, β = 90.00°, γ = 90.00°
Fractional coordinates of all 5 atoms:
Sr 0.000 0.000 0.500
Sr 0.000 0.500 0.000
Sr 0.500 0.000 0.000
V 0.500 0.500 0.500
Ge 0.000 0.000 0.000

A plane-wave DFT calculation with GGA-PBE was carried out for an optimized crystal structure of Sr4MnIn.

Values from the calculation:
Fermi-level density of states (states/eV/cell): 8.11
Size of the total moment (μB/cell): 3.7
ΔE_f (eV/f.u.): 3.937
Symmetry: F-43m

a = 7.105 Å, b = 7.105 Å, c = 7.105 Å
α = 60.00°, β = 60.00°, γ = 60.00°
Fractional coordinates of all 6 atoms:
Sr 0.125 0.125 0.125
Sr 0.125 0.125 0.625
Sr 0.125 0.625 0.125
Sr 0.625 0.125 0.125
Mn 0.500 0.500 0.500
In 0.750 0.750 0.750

A plane-wave DFT calculation with GGA-PBE was carried out for an optimized crystal structure of Tm5InSi2.

Values from the calculation:
Fermi-level density of states (states/eV/cell): 10.19
Size of the total moment (μB/cell): 0.0
Symmetry: I4/mcm
Formation energy (no corrections) (kcal/mol of atoms): -13.8

a = 8.689 Å, b = 8.689 Å, c = 8.689 Å
α = 127.91°, β = 127.91°, γ = 76.77°
Fractional coordinates of all 16 atoms:
Tm 0.000 0.000 0.000
Tm 0.024 0.524 0.826
Tm 0.197 0.024 0.500
Tm 0.303 0.803 0.826
Tm 0.476 0.303 0.500
Tm 0.500 0.500 0.000
Tm 0.524 0.697 0.500
Tm 0.697 0.197 0.174
Tm 0.803 0.976 0.500
Tm 0.976 0.476 0.174
In 0.250 0.250 0.000
In 0.750 0.750 0.000
Si 0.136 0.364 0.500
Si 0.364 0.864 0.228
Si 0.636 0.136 0.772
Si 0.864 0.636 0.500

A plane-wave DFT calculation with GGA-PBE was carried out for an optimized crystal structure of TcRh.

Values from the calculation:
Fermi-level density of states (states/eV/cell): 10.66
Size of the total moment (μB/cell): 0.0
ΔE_f (eV/f.u.): 0.591
Symmetry: P6_3/mmc

a = 4.255 Å, b = 4.255 Å, c = 7.933 Å
α = 90.00°, β = 90.00°, γ = 120.00°
Fractional coordinates of all 8 atoms:
Tc 0.000 0.000 0.250
Tc 0.000 0.000 0.750
Tc 0.333 0.667 0.250
Tc 0.667 0.333 0.750
Rh 0.333 0.667 0.581
Rh 0.333 0.667 0.919
Rh 0.667 0.333 0.081
Rh 0.667 0.333 0.419

A plane-wave DFT calculation with GGA-PBE was carried out for an optimized crystal structure of LiSc2In.

Values from the calculation:
Fermi-level density of states (states/eV/cell): 4.43
Size of the total moment (μB/cell): 0.0
ΔE_f (eV/f.u.): -0.466
Symmetry: Pmm2

a = 3.206 Å, b = 4.493 Å, c = 6.222 Å
α = 90.00°, β = 90.00°, γ = 90.00°
Fractional coordinates of all 4 atoms:
Li 0.000 0.000 0.000
Sc 0.000 0.000 0.524
Sc 0.500 0.500 0.252
In 0.500 0.500 0.754

A plane-wave DFT calculation with GGA-PBE was carried out for an optimized crystal structure of MgCrPb.

Values from the calculation:
Fermi-level density of states (states/eV/cell): 3.00
Size of the total moment (μB/cell): 8.0
ΔE_f (eV/f.u.): 1.170
Symmetry: I4mm

a = 3.286 Å, b = 3.286 Å, c = 12.545 Å
α = 90.00°, β = 90.00°, γ = 90.00°
Fractional coordinates of all 6 atoms:
Mg 0.000 0.000 0.000
Mg 0.500 0.500 0.500
Cr 0.000 0.000 0.352
Cr 0.500 0.500 0.852
Pb 0.000 0.000 0.693
Pb 0.500 0.500 0.193

A plane-wave DFT calculation with GGA-PBE was carried out for an optimized crystal structure of ZnTe2PdI.

Values from the calculation:
Fermi-level density of states (states/eV/cell): 8.42
Size of the total moment (μB/cell): 0.0
Symmetry: P4/mmm
Formation energy (no corrections) (kcal/mol of atoms): 14.7

a = 5.271 Å, b = 5.271 Å, c = 5.530 Å
α = 90.00°, β = 90.00°, γ = 90.00°
Fractional coordinates of all 5 atoms:
Zn 0.000 0.000 0.000
Te 0.000 0.500 0.000
Te 0.500 0.000 0.000
Pd 0.500 0.500 0.500
I 0.000 0.000 0.500

A plane-wave DFT calculation with GGA-PBE was carried out for an optimized crystal structure of LiTh2Ge3Ir4.

Values from the calculation:
Fermi-level density of states (states/eV/cell): 7.49
Size of the total moment (μB/cell): 0.0
ΔE_f (eV/f.u.): -7.660
Symmetry: P-4m2

a = 4.161 Å, b = 4.161 Å, c = 10.646 Å
α = 90.00°, β = 90.00°, γ = 90.00°
Fractional coordinates of all 10 atoms:
Li 0.000 0.000 0.000
Th 0.000 0.500 0.758
Th 0.500 0.000 0.242
Ge 0.000 0.500 0.372
Ge 0.500 0.000 0.628
Ge 0.500 0.500 0.000
Ir 0.000 0.000 0.500
Ir 0.000 0.500 0.143
Ir 0.500 0.000 0.857
Ir 0.500 0.500 0.500

A plane-wave DFT calculation with GGA-PBE was carried out for an optimized crystal structure of PmAlIn.

Values from the calculation:
Fermi-level density of states (states/eV/cell): 5.10
Size of the total moment (μB/cell): 0.0
ΔE_f (eV/f.u.): -0.757
Symmetry: F-43m

a = 6.832 Å, b = 6.832 Å, c = 6.832 Å
α = 90.00°, β = 90.00°, γ = 90.00°
Fractional coordinates of all 12 atoms:
Pm 0.000 0.000 0.000
Pm 0.000 0.500 0.500
Pm 0.500 0.000 0.500
Pm 0.500 0.500 0.000
Al 0.250 0.250 0.250
Al 0.250 0.750 0.750
Al 0.750 0.250 0.750
Al 0.750 0.750 0.250
In 0.000 0.000 0.500
In 0.000 0.500 0.000
In 0.500 0.000 0.000
In 0.500 0.500 0.500

A plane-wave DFT calculation with GGA-PBE was carried out for an optimized crystal structure of Pa2BeIr3.

Values from the calculation:
Fermi-level density of states (states/eV/cell): 4.09
Size of the total moment (μB/cell): 0.0
ΔE_f (eV/f.u.): -4.764
Symmetry: R-3m

a = 5.022 Å, b = 5.022 Å, c = 5.022 Å
α = 66.70°, β = 66.70°, γ = 66.70°
Fractional coordinates of all 6 atoms:
Pa 0.124 0.124 0.124
Pa 0.876 0.876 0.876
Be 0.500 0.500 0.500
Ir 0.000 0.500 0.500
Ir 0.500 0.000 0.500
Ir 0.500 0.500 0.000

A plane-wave DFT calculation with GGA-PBE was carried out for an optimized crystal structure of ZrScMoPt.

Values from the calculation:
Fermi-level density of states (states/eV/cell): 14.78
Size of the total moment (μB/cell): 0.0
ΔE_f (eV/f.u.): -2.096
Symmetry: F-43m

a = 6.611 Å, b = 6.611 Å, c = 6.611 Å
α = 90.00°, β = 90.00°, γ = 90.00°
Fractional coordinates of all 16 atoms:
Zr 0.000 0.000 0.000
Zr 0.000 0.500 0.500
Zr 0.500 0.000 0.500
Zr 0.500 0.500 0.000
Sc 0.000 0.000 0.500
Sc 0.000 0.500 0.000
Sc 0.500 0.000 0.000
Sc 0.500 0.500 0.500
Mo 0.250 0.250 0.250
Mo 0.250 0.750 0.750
Mo 0.750 0.250 0.750
Mo 0.750 0.750 0.250
Pt 0.250 0.250 0.750
Pt 0.250 0.750 0.250
Pt 0.750 0.250 0.250
Pt 0.750 0.750 0.750

A plane-wave DFT calculation with GGA-PBE was carried out for an optimized crystal structure of Ti3H2S.

Values from the calculation:
Fermi-level density of states (states/eV/cell): 6.92
Size of the total moment (μB/cell): 0.0
Symmetry: Cmc2_1
Final energy (Ha/atom): -0.234

a = 6.494 Å, b = 6.494 Å, c = 4.800 Å
α = 90.00°, β = 90.00°, γ = 44.26°
Fractional coordinates of all 12 atoms:
Ti 0.047 0.570 0.975
Ti 0.208 0.792 0.500
Ti 0.430 0.953 0.975
Ti 0.570 0.047 0.475
Ti 0.792 0.208 0.000
Ti 0.953 0.430 0.475
H 0.011 0.312 0.073
H 0.312 0.011 0.573
H 0.688 0.989 0.073
H 0.989 0.688 0.573
S 0.286 0.714 0.999
S 0.714 0.286 0.499

A plane-wave DFT calculation with GGA-PBE was carried out for an optimized crystal structure of InCS2.

Values from the calculation:
Fermi-level density of states (states/eV/cell): 5.15
Size of the total moment (μB/cell): 0.0
Symmetry: R-3m
Formation energy (no corrections) (kcal/mol of atoms): 25.5

a = 3.084 Å, b = 3.084 Å, c = 24.478 Å
α = 90.00°, β = 90.00°, γ = 120.00°
Fractional coordinates of all 12 atoms:
In 0.000 0.000 0.000
In 0.333 0.667 0.667
In 0.667 0.333 0.333
C 0.000 0.000 0.500
C 0.333 0.667 0.167
C 0.667 0.333 0.833
S 0.000 0.000 0.117
S 0.000 0.000 0.883
S 0.333 0.667 0.549
S 0.333 0.667 0.784
S 0.667 0.333 0.216
S 0.667 0.333 0.451

A plane-wave DFT calculation with GGA-PBE was carried out for an optimized crystal structure of ErSeI.

Values from the calculation:
Fermi-level density of states (states/eV/cell): 0.00
Size of the total moment (μB/cell): 0.0
Symmetry: Pmmn
Formation energy (no corrections) (kcal/mol of atoms): -38.8

a = 4.197 Å, b = 5.615 Å, c = 9.998 Å
α = 90.00°, β = 90.00°, γ = 90.00°
Fractional coordinates of all 6 atoms:
Er 0.250 0.250 0.114
Er 0.750 0.750 0.886
Se 0.250 0.750 0.079
Se 0.750 0.250 0.921
I 0.250 0.750 0.668
I 0.750 0.250 0.332

A plane-wave DFT calculation with GGA-PBE was carried out for an optimized crystal structure of YCoTc2Ru.

Values from the calculation:
Fermi-level density of states (states/eV/cell): 7.85
Size of the total moment (μB/cell): 1.3
ΔE_f (eV/f.u.): 3.799
Symmetry: P4/mmm

a = 4.454 Å, b = 4.454 Å, c = 4.605 Å
α = 90.00°, β = 90.00°, γ = 90.00°
Fractional coordinates of all 5 atoms:
Y 0.000 0.000 0.000
Co 0.500 0.500 0.500
Tc 0.000 0.500 0.500
Tc 0.500 0.000 0.500
Ru 0.500 0.500 0.000

A plane-wave DFT calculation with GGA-PBE was carried out for an optimized crystal structure of SiSb2Os.

Values from the calculation:
Fermi-level density of states (states/eV/cell): 6.25
Size of the total moment (μB/cell): 0.0
Symmetry: Cmmm
Formation energy (no corrections) (kcal/mol of atoms): 16.8

a = 6.210 Å, b = 7.623 Å, c = 3.251 Å
α = 90.00°, β = 90.00°, γ = 90.00°
Fractional coordinates of all 8 atoms:
Si 0.000 0.000 0.000
Si 0.500 0.500 0.000
Sb 0.250 0.250 0.500
Sb 0.250 0.750 0.500
Sb 0.750 0.250 0.500
Sb 0.750 0.750 0.500
Os 0.000 0.500 0.000
Os 0.500 0.000 0.000

A plane-wave DFT calculation with GGA-PBE was carried out for an optimized crystal structure of SrCr2Rh.

Values from the calculation:
Fermi-level density of states (states/eV/cell): 26.02
Size of the total moment (μB/cell): 19.1
ΔE_f (eV/f.u.): 3.329
Symmetry: I4_1/amd

a = 4.720 Å, b = 4.720 Å, c = 17.127 Å
α = 90.00°, β = 90.00°, γ = 90.00°
Fractional coordinates of all 16 atoms:
Sr 0.000 0.250 0.375
Sr 0.000 0.750 0.625
Sr 0.500 0.250 0.125
Sr 0.500 0.750 0.875
Cr 0.000 0.000 0.000
Cr 0.000 0.500 0.000
Cr 0.250 0.250 0.750
Cr 0.250 0.750 0.250
Cr 0.500 0.000 0.500
Cr 0.500 0.500 0.500
Cr 0.750 0.250 0.750
Cr 0.750 0.750 0.250
Rh 0.000 0.250 0.875
Rh 0.000 0.750 0.125
Rh 0.500 0.250 0.625
Rh 0.500 0.750 0.375

A plane-wave DFT calculation with GGA-PBE was carried out for an optimized crystal structure of CaZrO3.

Values from the calculation:
Fermi-level density of states (states/eV/cell): 0.00
Size of the total moment (μB/cell): 0.0
Symmetry: Pnma
Formation energy (no corrections) (kcal/mol of atoms): -73.6

a = 5.941 Å, b = 3.288 Å, c = 12.741 Å
α = 90.00°, β = 90.00°, γ = 90.00°
Fractional coordinates of all 20 atoms:
Ca 0.158 0.250 0.204
Ca 0.342 0.750 0.704
Ca 0.658 0.250 0.296
Ca 0.842 0.750 0.796
Zr 0.243 0.750 0.452
Zr 0.257 0.250 0.952
Zr 0.743 0.750 0.048
Zr 0.757 0.250 0.548
O 0.023 0.250 0.409
O 0.133 0.750 0.049
O 0.155 0.250 0.797
O 0.345 0.750 0.297
O 0.367 0.250 0.549
O 0.477 0.750 0.909
O 0.523 0.250 0.091
O 0.633 0.750 0.451
O 0.655 0.250 0.703
O 0.845 0.750 0.203
O 0.867 0.250 0.951
O 0.977 0.750 0.591